A relaxed structure of PmMnSeO6. Source: the Alexandria database, functional PBE+U.

Properties
As for the total energy: -6.6639 eV/atom.

Cell lengths 5.020, 5.020, 5.049 Å; angles 90.00, 90.00, 120.00 degrees
Positions (direct):
Pm (0.000, 0.000, 0.000)
Mn (0.333, 0.667, 0.500)
Se (0.667, 0.333, 0.500)
O (0.384, 0.017, 0.709)
O (0.384, 0.367, 0.291)
O (0.633, 0.017, 0.291)
O (0.633, 0.616, 0.709)
O (0.983, 0.367, 0.709)
O (0.983, 0.616, 0.291)